Record 1
Material: Hf4SbPbN2
Method: DFT, PBE
State: relaxed

Space group: P-6m2

Cell: 3.368 3.368 13.948 Å, 90.00 90.00 120.00°
Positions (direct):
N (0.333, 0.667, 0.743)
N (0.333, 0.667, 0.257)
Hf (0.000, 0.000, 0.342)
Hf (0.000, 0.000, 0.658)
Hf (0.667, 0.333, 0.174)
Hf (0.667, 0.333, 0.826)
Pb (0.000, 0.000, 0.000)
Sb (0.667, 0.333, 0.500)

---

Record 2
Material: Hf2Sc4Pb3N3
Method: DFT, PBE
State: relaxed

Space group: C2/c

Cell: 5.777 5.777 14.928 Å, 101.20 101.20 60.03°
Positions (direct):
Hf (0.354, 0.526, 0.078)
Hf (0.526, 0.354, 0.578)
Hf (0.474, 0.646, 0.422)
Hf (0.646, 0.474, 0.922)
N (0.000, 0.500, 0.000)
N (0.663, 0.175, 0.000)
N (0.175, 0.663, 0.500)
N (0.825, 0.337, 0.500)
N (0.337, 0.825, 0.000)
N (0.500, 0.000, 0.500)
Sc (0.867, 0.693, 0.581)
Sc (0.967, 0.812, 0.919)
Sc (0.033, 0.188, 0.081)
Sc (0.188, 0.033, 0.581)
Sc (0.307, 0.133, 0.919)
Sc (0.693, 0.867, 0.081)
Sc (0.133, 0.307, 0.419)
Sc (0.812, 0.967, 0.419)
Pb (0.254, 0.416, 0.751)
Pb (0.416, 0.254, 0.251)
Pb (0.584, 0.746, 0.749)
Pb (0.085, 0.915, 0.250)
Pb (0.915, 0.085, 0.750)
Pb (0.746, 0.584, 0.249)

---

Record 3
Material: Hf4Sc2Pb3N3
Method: DFT, PBE
State: relaxed

Space group: C2/c

Cell: 5.766 5.766 14.927 Å, 101.17 101.17 60.00°
Positions (direct):
N (0.162, 0.669, 0.000)
N (0.838, 0.331, 0.000)
N (0.500, 0.000, 0.000)
N (0.331, 0.838, 0.500)
N (0.669, 0.162, 0.500)
N (0.000, 0.500, 0.500)
Hf (0.693, 0.856, 0.580)
Hf (0.198, 0.022, 0.080)
Hf (0.022, 0.198, 0.580)
Hf (0.144, 0.307, 0.920)
Hf (0.307, 0.144, 0.420)
Hf (0.978, 0.802, 0.420)
Hf (0.802, 0.978, 0.920)
Hf (0.856, 0.693, 0.080)
Pb (0.414, 0.251, 0.749)
Pb (0.251, 0.414, 0.249)
Pb (0.749, 0.586, 0.751)
Pb (0.920, 0.080, 0.250)
Pb (0.080, 0.920, 0.750)
Pb (0.586, 0.749, 0.251)
Sc (0.366, 0.528, 0.583)
Sc (0.634, 0.472, 0.417)
Sc (0.528, 0.366, 0.083)
Sc (0.472, 0.634, 0.917)

---

Record 4
Material: Hf4SnPbN2
Method: DFT, PBE
State: relaxed

Space group: P-6m2

Cell: 3.278 3.278 14.647 Å, 90.00 90.00 120.00°
Positions (direct):
N (0.333, 0.667, 0.747)
N (0.333, 0.667, 0.253)
Hf (0.000, 0.000, 0.663)
Hf (0.000, 0.000, 0.337)
Hf (0.667, 0.333, 0.169)
Hf (0.667, 0.333, 0.831)
Sn (0.667, 0.333, 0.500)
Pb (0.000, 0.000, 0.000)

---

Record 5
Material: Hf2Ta4Pb3N3
Method: DFT, PBE
State: relaxed

Space group: C2/c

Cell: 5.816 5.816 14.130 Å, 78.38 78.38 60.21°
Positions (direct):
N (0.812, 0.343, 0.000)
N (0.188, 0.657, 0.000)
N (0.657, 0.188, 0.500)
N (0.500, 0.000, 0.000)
N (0.000, 0.500, 0.500)
N (0.343, 0.812, 0.500)
Hf (0.353, 0.526, 0.416)
Hf (0.526, 0.353, 0.916)
Hf (0.647, 0.474, 0.584)
Hf (0.474, 0.647, 0.084)
Ta (0.821, 0.961, 0.074)
Ta (0.039, 0.179, 0.426)
Ta (0.129, 0.309, 0.074)
Ta (0.179, 0.039, 0.926)
Ta (0.961, 0.821, 0.574)
Ta (0.691, 0.871, 0.426)
Ta (0.871, 0.691, 0.926)
Ta (0.309, 0.129, 0.574)
Pb (0.072, 0.928, 0.250)
Pb (0.236, 0.420, 0.748)
Pb (0.764, 0.580, 0.252)
Pb (0.928, 0.072, 0.750)
Pb (0.420, 0.236, 0.248)
Pb (0.580, 0.764, 0.752)

---

Record 6
Material: Hf4Ta2Pb3N3
Method: DFT, PBE
State: relaxed

Space group: C2/c

Cell: 5.854 5.854 14.299 Å, 101.68 101.68 60.04°
Positions (direct):
Hf (0.695, 0.852, 0.081)
Hf (0.980, 0.799, 0.920)
Hf (0.148, 0.305, 0.419)
Hf (0.020, 0.201, 0.080)
Hf (0.799, 0.980, 0.420)
Hf (0.852, 0.695, 0.581)
Hf (0.201, 0.020, 0.580)
Hf (0.305, 0.148, 0.919)
N (0.150, 0.674, 0.500)
N (0.000, 0.500, 0.000)
N (0.326, 0.850, 0.000)
N (0.850, 0.326, 0.500)
N (0.500, 0.000, 0.500)
N (0.674, 0.150, 0.000)
Ta (0.476, 0.631, 0.427)
Ta (0.369, 0.524, 0.073)
Ta (0.524, 0.369, 0.573)
Ta (0.631, 0.476, 0.927)
Pb (0.257, 0.417, 0.748)
Pb (0.092, 0.908, 0.250)
Pb (0.743, 0.583, 0.252)
Pb (0.583, 0.743, 0.752)
Pb (0.908, 0.092, 0.750)
Pb (0.417, 0.257, 0.248)

---

| no. | energy (eV/atom) | spin magnetization (μB per cell) |
| --- | --- | --- |
| 1 | -8.960 | 0.0 |
| 2 | -7.879 | 0.0 |
| 3 | -8.370 | 0.0 |
| 4 | -8.968 | 0.0 |
| 5 | -9.047 | 0.0 |
| 6 | -8.942 | 0.0 |